# PBE Zr2BiO2, optimized geometry
data_Zr2BiO2
_chemical_formula_sum 'Zr4 Bi2 O4'
_symmetry_space_group_name_H-M 'I 4/m m m'
_symmetry_Int_Tables_number 139
_symmetry_space_group_name_Hall '-I 4 2'
_cell_length_a 3.797
_cell_length_b 3.797
_cell_length_c 11.605
_cell_angle_alpha 90.00
_cell_angle_beta 90.00
_cell_angle_gamma 90.00
loop_
_atom_site_label
_atom_site_type_symbol
_atom_site_fract_x
_atom_site_fract_y
_atom_site_fract_z
Zr1 Zr 0.000 0.000 0.152
Bi1 Bi 0.000 0.000 0.500
O1 O 0.000 0.500 0.250
# formation energy (no corrections): -10.4 eV per formula unit
# E_tot: -8.264 eV/atom
# Fermi-level density of states: 1.9 states/eV/f.u.
# size of the total moment: 0.000 Bohr magnetons per cell